Entry 1:
The following is a GGA-PBE calculation of crystalline InPAu at its relaxed geometry, from the Alexandria database.

Energy relative to the lowest polymorph listed for this composition in meV/atom: 125
Magnetization in μB/cell: 0.00
Formation energy in eV/atom: 0.160
Electronic total energy in eV/atom: -3.6485
V in Å³/f.u.: 66.2

abc: 6.420 6.420 6.420
angles: 90.00 90.00 90.00
Element x y z (fractional)
In: 0.000 0.000 0.000
In: 0.000 0.500 0.500
In: 0.500 0.000 0.500
In: 0.500 0.500 0.000
P: 0.000 0.000 0.500
P: 0.000 0.500 0.000
P: 0.500 0.000 0.000
P: 0.500 0.500 0.500
Au: 0.250 0.250 0.750
Au: 0.250 0.750 0.250
Au: 0.750 0.250 0.250
Au: 0.750 0.750 0.750


Entry 2:
The following is a GGA-PBE calculation of crystalline K2LiY at its relaxed geometry, from the Alexandria database.

Magnetization in μB/cell: 1.97
Formation energy in eV/atom: 0.538
Electronic total energy in eV/atom: -2.1055
V in Å³/f.u.: 170.0

abc: 5.097 5.097 13.086
angles: 90.00 90.00 90.00
Element x y z (fractional)
K: 0.000 0.500 0.250
K: 0.000 0.500 0.750
K: 0.500 0.000 0.250
K: 0.500 0.000 0.750
Li: 0.000 0.000 0.000
Li: 0.500 0.500 0.500
Y: 0.000 0.000 0.500
Y: 0.500 0.500 0.000


Entry 3:
The following is a GGA-PBE calculation of crystalline Ba4Au3 at its relaxed geometry, from the Alexandria database.

Energy relative to the lowest polymorph listed for this composition in meV/atom: 55
Magnetization in μB/cell: 0.00
Formation energy in eV/atom: -0.564
Electronic total energy in eV/atom: -3.0671
V in Å³/f.u.: 290.2

abc: 4.561 4.561 27.903
angles: 90.00 90.00 90.00
Element x y z (fractional)
Ba: 0.000 0.000 0.065
Ba: 0.000 0.000 0.307
Ba: 0.000 0.000 0.693
Ba: 0.000 0.000 0.935
Ba: 0.500 0.500 0.193
Ba: 0.500 0.500 0.435
Ba: 0.500 0.500 0.565
Ba: 0.500 0.500 0.807
Au: 0.000 0.000 0.184
Au: 0.000 0.000 0.500
Au: 0.000 0.000 0.816
Au: 0.500 0.500 0.000
Au: 0.500 0.500 0.316
Au: 0.500 0.500 0.684


Entry 4:
The following is a GGA-PBE calculation of crystalline Ce2NdScS4 at its relaxed geometry, from the Alexandria database.

Magnetization in μB/cell: 1.58
Electronic total energy in eV/atom: -6.8981
V in Å³/f.u.: 176.0

abc: 6.874 3.943 6.876
angles: 90.00 109.19 90.00
Element x y z (fractional)
Ce: 0.000 0.000 0.000
Ce: 0.000 0.500 0.500
Nd: 0.500 0.000 0.500
Sc: 0.500 0.500 0.000
S: 0.257 0.500 0.238
S: 0.267 0.000 0.770
S: 0.733 0.000 0.230
S: 0.743 0.500 0.762


Entry 5:
The following is a GGA-PBE calculation of crystalline BeBRu3 at its relaxed geometry, from the Alexandria database.

Energy relative to the lowest polymorph listed for this composition in meV/atom: 0
Magnetization in μB/cell: 0.73
Formation energy in eV/atom: 0.293
Electronic total energy in eV/atom: -7.3532
V in Å³/f.u.: 64.6

abc: 4.013 4.013 4.013
angles: 90.00 90.00 90.00
Element x y z (fractional)
Be: 0.000 0.000 0.000
B: 0.500 0.500 0.500
Ru: 0.000 0.500 0.500
Ru: 0.500 0.000 0.500
Ru: 0.500 0.500 0.000


Entry 6:
The following is a GGA-PBE calculation of crystalline La2HoNpN4 at its relaxed geometry, from the Alexandria database.

Magnetization in μB/cell: 2.53
Electronic total energy in eV/atom: -8.9647
V in Å³/f.u.: 128.7

abc: 6.080 3.559 6.274
angles: 90.00 108.50 90.00
Element x y z (fractional)
La: 0.000 0.000 0.000
La: 0.500 0.500 0.000
Ho: 0.000 0.500 0.500
Np: 0.500 0.000 0.500
N: 0.259 0.000 0.710
N: 0.271 0.500 0.287
N: 0.729 0.500 0.713
N: 0.741 0.000 0.290


Entry 7:
The following is a GGA-PBE calculation of crystalline Sr2LaCu at its relaxed geometry, from the Alexandria database.

Energy relative to the lowest polymorph listed for this composition in meV/atom: 347
Magnetization in μB/cell: 0.04
Formation energy in eV/atom: 0.361
Electronic total energy in eV/atom: -2.7360
V in Å³/f.u.: 138.3

abc: 8.209 8.209 8.209
angles: 90.00 90.00 90.00
Element x y z (fractional)
Sr: 0.000 0.000 0.000
Sr: 0.000 0.500 0.500
Sr: 0.250 0.250 0.250
Sr: 0.250 0.750 0.750
Sr: 0.500 0.000 0.500
Sr: 0.500 0.500 0.000
Sr: 0.750 0.250 0.750
Sr: 0.750 0.750 0.250
La: 0.250 0.250 0.750
La: 0.250 0.750 0.250
La: 0.750 0.250 0.250
La: 0.750 0.750 0.750
Cu: 0.000 0.000 0.500
Cu: 0.000 0.500 0.000
Cu: 0.500 0.000 0.000
Cu: 0.500 0.500 0.500


Entry 8:
The following is a GGA-PBE calculation of crystalline MnTc2Br at its relaxed geometry, from the Alexandria database.

Energy relative to the lowest polymorph listed for this composition in meV/atom: 150
Magnetization in μB/cell: 11.97
Electronic total energy in eV/atom: -7.4436
V in Å³/f.u.: 64.7

abc: 2.964 2.964 25.505
angles: 90.00 90.00 120.00
Element x y z (fractional)
Mn: 0.000 0.000 0.000
Mn: 0.333 0.667 0.667
Mn: 0.667 0.333 0.333
Tc: 0.000 0.000 0.494
Tc: 0.000 0.000 0.749
Tc: 0.333 0.667 0.160
Tc: 0.333 0.667 0.416
Tc: 0.667 0.333 0.083
Tc: 0.667 0.333 0.827
Br: 0.000 0.000 0.253
Br: 0.333 0.667 0.919
Br: 0.667 0.333 0.586


Entry 9:
The following is a GGA-PBE calculation of crystalline KCe2PtO8 at its relaxed geometry, from the Alexandria database.

Magnetization in μB/cell: 0.92
Electronic total energy in eV/atom: -6.7502
V in Å³/f.u.: 159.0

abc: 3.997 5.440 7.576
angles: 89.06 74.91 88.49
Element x y z (fractional)
K: 0.000 0.000 0.000
Ce: 0.367 0.492 0.291
Ce: 0.633 0.508 0.709
Pt: 0.000 0.000 0.500
O: 0.147 0.750 0.668
O: 0.180 0.500 0.001
O: 0.198 0.312 0.574
O: 0.355 0.905 0.271
O: 0.645 0.095 0.729
O: 0.802 0.688 0.426
O: 0.820 0.500 0.999
O: 0.853 0.250 0.332


Entry 10:
The following is a GGA-PBE calculation of crystalline Mo6W7 at its relaxed geometry, from the Alexandria database.

Magnetization in μB/cell: 0.00
Formation energy in eV/atom: 0.325
Electronic total energy in eV/atom: -11.6484
V in Å³/f.u.: 217.7

abc: 9.728 9.728 9.728
angles: 31.08 31.08 31.08
Element x y z (fractional)
Mo: 0.045 0.045 0.045
Mo: 0.150 0.150 0.150
Mo: 0.332 0.332 0.332
Mo: 0.668 0.668 0.668
Mo: 0.850 0.850 0.850
Mo: 0.955 0.955 0.955
W: 0.086 0.590 0.590
W: 0.410 0.410 0.914
W: 0.410 0.914 0.410
W: 0.500 0.500 0.500
W: 0.590 0.086 0.590
W: 0.590 0.590 0.086
W: 0.914 0.410 0.410


Entry 11:
The following is a GGA-PBE calculation of crystalline CePu2Zn2Au2 at its relaxed geometry, from the Alexandria database.

Magnetization in μB/cell: 24.49
Formation energy in eV/atom: -0.363
Electronic total energy in eV/atom: -6.6055
V in Å³/f.u.: 152.7

abc: 8.315 4.778 8.142
angles: 90.00 109.26 90.00
Element x y z (fractional)
Ce: 0.000 0.000 0.000
Ce: 0.500 0.500 0.000
Pu: 0.130 0.000 0.399
Pu: 0.370 0.500 0.601
Pu: 0.630 0.500 0.399
Pu: 0.870 0.000 0.601
Zn: 0.098 0.500 0.788
Zn: 0.402 0.000 0.212
Zn: 0.598 0.000 0.788
Zn: 0.902 0.500 0.212
Au: 0.232 0.500 0.201
Au: 0.268 0.000 0.799
Au: 0.732 0.000 0.201
Au: 0.768 0.500 0.799


Entry 12:
The following is a GGA-PBE calculation of crystalline Ba2InSn3Pd4 at its relaxed geometry, from the Alexandria database.

Magnetization in μB/cell: 0.00
Formation energy in eV/atom: -0.691
Electronic total energy in eV/atom: -4.6269
V in Å³/f.u.: 250.9

abc: 4.843 4.843 10.700
angles: 90.00 90.00 90.00
Element x y z (fractional)
Ba: 0.000 0.500 0.245
Ba: 0.500 0.000 0.755
In: 0.000 0.000 0.500
Sn: 0.000 0.500 0.884
Sn: 0.500 0.000 0.116
Sn: 0.500 0.500 0.500
Pd: 0.000 0.000 0.000
Pd: 0.000 0.500 0.629
Pd: 0.500 0.000 0.371
Pd: 0.500 0.500 0.000


Entry 13:
The following is a GGA-PBE calculation of crystalline Tb2Mg3Hg at its relaxed geometry, from the Alexandria database.

Magnetization in μB/cell: 0.00
Formation energy in eV/atom: -0.187
Electronic total energy in eV/atom: -2.5784
V in Å³/f.u.: 152.4

abc: 3.392 5.101 8.810
angles: 90.00 90.00 90.00
Element x y z (fractional)
Tb: 0.000 0.000 0.000
Tb: 0.000 0.500 0.480
Mg: 0.500 0.000 0.657
Mg: 0.500 0.500 0.156
Mg: 0.500 0.500 0.821
Hg: 0.500 0.000 0.326


Entry 14:
The following is a GGA-PBE calculation of crystalline Dy2Ga4Pd5 at its relaxed geometry, from the Alexandria database.

Magnetization in μB/cell: 0.00
Formation energy in eV/atom: -0.716
Electronic total energy in eV/atom: -5.0142
V in Å³/f.u.: 206.4

abc: 9.133 8.331 5.460
angles: 79.99 63.94 36.07
Element x y z (fractional)
Dy: 0.127 0.127 0.873
Dy: 0.873 0.873 0.127
Ga: 0.214 0.525 0.475
Ga: 0.475 0.786 0.214
Ga: 0.525 0.214 0.786
Ga: 0.786 0.475 0.525
Pd: 0.000 0.000 0.500
Pd: 0.250 0.250 0.250
Pd: 0.500 0.500 0.000
Pd: 0.500 0.500 0.500
Pd: 0.750 0.750 0.750


Entry 15:
The following is a GGA-PBE calculation of crystalline Li2YSb at its relaxed geometry, from the Alexandria database.

Magnetization in μB/cell: 0.00
Electronic total energy in eV/atom: -3.8994
V in Å³/f.u.: 94.1

abc: 3.892 3.892 6.212
angles: 90.00 90.00 90.00
Element x y z (fractional)
Li: 0.000 0.000 0.208
Li: 0.000 0.000 0.792
Y: 0.500 0.500 0.500
Sb: 0.500 0.500 0.000


Entry 16:
The following is a GGA-PBE calculation of crystalline LiHoLuSn at its relaxed geometry, from the Alexandria database.

Magnetization in μB/cell: 0.00
Formation energy in eV/atom: -0.366
Electronic total energy in eV/atom: -4.1201
V in Å³/f.u.: 96.9

abc: 7.290 7.290 7.290
angles: 90.00 90.00 90.00
Element x y z (fractional)
Li: 0.000 0.000 0.000
Li: 0.000 0.500 0.500
Li: 0.500 0.000 0.500
Li: 0.500 0.500 0.000
Ho: 0.250 0.250 0.250
Ho: 0.250 0.750 0.750
Ho: 0.750 0.250 0.750
Ho: 0.750 0.750 0.250
Lu: 0.250 0.250 0.750
Lu: 0.250 0.750 0.250
Lu: 0.750 0.250 0.250
Lu: 0.750 0.750 0.750
Sn: 0.000 0.000 0.500
Sn: 0.000 0.500 0.000
Sn: 0.500 0.000 0.000
Sn: 0.500 0.500 0.500


Entry 17:
The following is a GGA-PBE calculation of crystalline Na12Bi7Pd at its relaxed geometry, from the Alexandria database.

Magnetization in μB/cell: 0.00
Formation energy in eV/atom: -0.239
Electronic total energy in eV/atom: -2.6480
V in Å³/f.u.: 620.2

abc: 8.956 8.956 8.956
angles: 105.56 105.56 105.56
Element x y z (fractional)
Na: 0.082 0.277 0.367
Na: 0.213 0.675 0.385
Na: 0.277 0.367 0.082
Na: 0.325 0.615 0.787
Na: 0.367 0.082 0.277
Na: 0.385 0.213 0.675
Na: 0.615 0.787 0.325
Na: 0.633 0.918 0.723
Na: 0.675 0.385 0.213
Na: 0.723 0.633 0.918
Na: 0.787 0.325 0.615
Na: 0.918 0.723 0.633
Bi: 0.007 0.109 0.703
Bi: 0.109 0.703 0.007
Bi: 0.297 0.993 0.891
Bi: 0.500 0.500 0.500
Bi: 0.703 0.007 0.109
Bi: 0.891 0.297 0.993
Bi: 0.993 0.891 0.297
Pd: 0.000 0.000 0.000


Entry 18:
The following is a GGA-PBE calculation of crystalline Pr4IrSI2 at its relaxed geometry, from the Alexandria database.

Magnetization in μB/cell: 0.00
Electronic total energy in eV/atom: -5.5971
V in Å³/f.u.: 249.6

abc: 7.559 4.162 8.296
angles: 90.00 107.04 90.00
Element x y z (fractional)
Pr: 0.213 0.000 0.190
Pr: 0.270 0.500 0.810
Pr: 0.730 0.500 0.190
Pr: 0.787 0.000 0.810
Ir: 0.000 0.500 0.000
S: 0.500 0.000 0.000
I: 0.000 0.000 0.500
I: 0.500 0.500 0.500


Entry 19:
The following is a GGA-PBE calculation of crystalline MgAs4P4O16 at its relaxed geometry, from the Alexandria database.

Energy relative to the lowest polymorph listed for this composition in meV/atom: 37
Magnetization in μB/cell: 0.00
Electronic total energy in eV/atom: -6.5111
V in Å³/f.u.: 378.5

abc: 8.666 5.069 8.714
angles: 90.00 98.53 90.00
Element x y z (fractional)
Mg: 0.000 0.000 0.000
As: 0.084 0.500 0.196
As: 0.455 0.000 0.820
As: 0.584 0.500 0.340
As: 0.951 0.000 0.706
P: 0.170 0.500 0.837
P: 0.402 0.000 0.162
P: 0.640 0.500 0.695
P: 0.925 0.000 0.306
O: 0.064 0.500 0.979
O: 0.077 0.000 0.411
O: 0.122 0.252 0.739
O: 0.122 0.748 0.739
O: 0.231 0.000 0.093
O: 0.342 0.500 0.898
O: 0.435 0.248 0.269
O: 0.435 0.752 0.269
O: 0.515 0.000 0.037
O: 0.520 0.500 0.535
O: 0.605 0.250 0.789
O: 0.605 0.750 0.789
O: 0.764 0.000 0.347
O: 0.806 0.500 0.667
O: 0.931 0.240 0.174
O: 0.931 0.760 0.174


Entry 20:
The following is a GGA-PBE calculation of crystalline NaSrW2 at its relaxed geometry, from the Alexandria database.

Energy relative to the lowest polymorph listed for this composition in meV/atom: 344
Magnetization in μB/cell: 0.00
Formation energy in eV/atom: 2.268
Electronic total energy in eV/atom: -4.9586
V in Å³/f.u.: 86.2

abc: 7.013 7.013 7.013
angles: 90.00 90.00 90.00
Element x y z (fractional)
Na: 0.000 0.000 0.000
Na: 0.000 0.500 0.500
Na: 0.500 0.000 0.500
Na: 0.500 0.500 0.000
Sr: 0.000 0.000 0.500
Sr: 0.000 0.500 0.000
Sr: 0.500 0.000 0.000
Sr: 0.500 0.500 0.500
W: 0.250 0.250 0.250
W: 0.250 0.250 0.750
W: 0.250 0.750 0.250
W: 0.250 0.750 0.750
W: 0.750 0.250 0.250
W: 0.750 0.250 0.750
W: 0.750 0.750 0.250
W: 0.750 0.750 0.750